[1]
Here is a relaxed SrTcAg2Se crystal from Alexandria via LeMat-Bulk. Energies are from PBE.

Cell: 5.5786 5.5786 5.5645 Å, 90.00 90.00 90.00°
Last column: nearest neighbours and their distance in Å.
Space group P4/mmm (No. 123)
Symmetry-distinct sites (fractional):
Sr (0.0000, 0.0000, 0.0000) [1 per cell]  2 Se 2.78, 4 Ag 2.79
Tc (0.5000, 0.5000, 0.5000) [1 per cell]  8 Ag 3.94, 4 Se 3.94
Ag (0.0000, 0.5000, 0.0000) [2 per cell]  2 Sr 2.79
Se (0.0000, 0.0000, 0.5000) [1 per cell]  2 Sr 2.78

Density of states at the Fermi level = 1.0042 states/eV per atom
Formation energy without anion corrections = 1.330 eV/atom

[2]
Here is a relaxed Ca2FeH crystal from Alexandria via LeMat-Bulk. Energies are from PBE.

Cell: 6.8126 6.8126 7.4371 Å, 90.00 90.00 90.00°
Last column: nearest neighbours and their distance in Å.
Space group I-42d (No. 122)
Symmetry-distinct sites (fractional):
Ca (0.1587, 0.2500, 0.1250) [8 per cell]  2 H 2.22
Fe (0.0000, 0.0000, 0.5000) [4 per cell]  4 Ca 3.03
H (0.0000, 0.0000, 0.0000) [4 per cell]  4 Ca 2.22

Distance to the lowest polymorph of the same formula = 0 meV per atom
Density of states at the Fermi level = 1.2364 states/eV per atom

[3]
Here is a relaxed As4Ru crystal from Alexandria via LeMat-Bulk. Energies are from PBE.

Cell: 5.8952 5.8952 5.8952 Å, 90.00 90.00 90.00°
Last column: nearest neighbours and their distance in Å.
Space group Im-3m (No. 229)
Symmetry-distinct sites (fractional):
As (0.2500, 0.2500, 0.2500) [8 per cell]  2 Ru 2.55
Ru (0.0000, 0.0000, 0.0000) [2 per cell]  8 As 2.55

Distance to the lowest polymorph of the same formula = 502 meV per atom
Density of states at the Fermi level = 0.4509 states/eV per atom
Energy of formation from the pure elements = 0.37 eV/atom

Short version: magnetic moment = 4.54, 2.32, 0.00 μB per formula unit, in the order given.